1.
Crystalline K3LuSi2O7 at its relaxed geometry, computed with PBE-GGA.

abc: 5.7651 5.7651 14.0648
angles: 90.00 90.00 120.00
Closest atoms and distances in Å follow each position.
Positions (direct):
K 0.0000 0.0000 0.2500  6 O 2.81
K 0.0000 0.0000 0.7500  6 O 2.81
K 0.3333 0.6667 0.0905  9 O 2.89-3.03, 1 Si 3.12
K 0.3333 0.6667 0.4095  9 O 2.89-3.03, 1 Si 3.12
K 0.6667 0.3333 0.5905  9 O 2.89-3.03, 1 Si 3.12
K 0.6667 0.3333 0.9095  9 O 2.89-3.03, 1 Si 3.12
Lu 0.0000 0.0000 0.0000  6 O 2.22
Lu 0.0000 0.0000 0.5000  6 O 2.22
Si 0.3333 0.6667 0.6313  4 O 1.64-1.67
Si 0.3333 0.6667 0.8687  4 O 1.64-1.67
Si 0.6667 0.3333 0.1313  4 O 1.64-1.67
Si 0.6667 0.3333 0.3687  4 O 1.64-1.67
O 0.1776 0.3551 0.5946  1 Si 1.64
O 0.1776 0.3551 0.9054  1 Si 1.64
O 0.1776 0.8224 0.5946  1 Si 1.64
O 0.1776 0.8224 0.9054  1 Si 1.64
O 0.3333 0.6667 0.7500  2 Si 1.67
O 0.3551 0.1776 0.0946  1 Si 1.64
O 0.3551 0.1776 0.4054  1 Si 1.64
O 0.6449 0.8224 0.5946  1 Si 1.64
O 0.6449 0.8224 0.9054  1 Si 1.64
O 0.6667 0.3333 0.2500  2 Si 1.67
O 0.8224 0.1776 0.0946  1 Si 1.64
O 0.8224 0.1776 0.4054  1 Si 1.64
O 0.8224 0.6449 0.0946  1 Si 1.64
O 0.8224 0.6449 0.4054  1 Si 1.64

Its total energy is -0.50201 Ry/atom. The space-group type is P6_3/mmc.

2.
Crystalline K3LuSi3O9 at its relaxed geometry, computed with PBE-GGA.

abc: 13.9445 5.8467 12.9058
angles: 90.00 90.00 90.00
Closest atoms and distances in Å follow each position.
Positions (direct):
K 0.0000 0.1490 0.0000  10 O 3.10-3.36, 1 K 3.34, 2 Si 3.45
K 0.0000 0.2750 0.2526  4 O 2.73-3.04
K 0.0000 0.8153 0.7143  6 O 2.77-2.91
K 0.0000 0.8336 0.4591  6 O 2.76-2.93
K 0.2174 0.3453 0.7709  4 O 2.67-2.95
K 0.2826 0.6547 0.2709  4 O 2.67-2.95
K 0.5000 0.1664 0.9591  6 O 2.76-2.93
K 0.5000 0.1847 0.2143  6 O 2.77-2.91
K 0.5000 0.7250 0.7526  4 O 2.73-3.04
K 0.5000 0.8510 0.5000  10 O 3.10-3.36, 1 K 3.34, 2 Si 3.45
K 0.7174 0.6547 0.2709  4 O 2.67-2.95
K 0.7826 0.3453 0.7709  4 O 2.67-2.95
Lu 0.2375 0.8440 0.6056  6 O 2.18-2.24
Lu 0.2625 0.1560 0.1056  6 O 2.18-2.24
Lu 0.7375 0.1560 0.1056  6 O 2.18-2.24
Lu 0.7625 0.8440 0.6056  6 O 2.18-2.24
Si 0.1108 0.3317 0.5163  4 O 1.62-1.69
Si 0.1173 0.6631 0.0823  4 O 1.62-1.67
Si 0.2187 0.8382 0.8919  4 O 1.61-1.69
Si 0.2813 0.1618 0.3919  4 O 1.61-1.69
Si 0.3827 0.3369 0.5823  4 O 1.62-1.67
Si 0.3892 0.6683 0.0163  4 O 1.62-1.69
Si 0.6108 0.6683 0.0163  4 O 1.62-1.69
Si 0.6173 0.3369 0.5823  4 O 1.62-1.67
Si 0.7187 0.1618 0.3919  4 O 1.61-1.69
Si 0.7813 0.8382 0.8919  4 O 1.61-1.69
Si 0.8827 0.6631 0.0823  4 O 1.62-1.67
Si 0.8892 0.3317 0.5163  4 O 1.62-1.69
O 0.0000 0.3346 0.4624  2 Si 1.69
O 0.0000 0.6629 0.0958  2 Si 1.64
O 0.1219 0.1069 0.5886  1 Si 1.62
O 0.1280 0.5758 0.5726  1 Si 1.62
O 0.1345 0.6840 0.9544  2 Si 1.67-1.69
O 0.1523 0.4176 0.1265  1 Si 1.62
O 0.1578 0.8853 0.1430  1 Si 1.62
O 0.1774 0.3037 0.4089  2 Si 1.68
O 0.1918 0.8302 0.7704  1 Si 1.61
O 0.2232 0.0910 0.9428  1 Si 1.62
O 0.2768 0.9090 0.4428  1 Si 1.62
O 0.3082 0.1698 0.2704  1 Si 1.61
O 0.3226 0.6963 0.9089  2 Si 1.68
O 0.3422 0.1147 0.6430  1 Si 1.62
O 0.3477 0.5824 0.6265  1 Si 1.62
O 0.3655 0.3160 0.4544  2 Si 1.67-1.69
O 0.3720 0.4242 0.0726  1 Si 1.62
O 0.3781 0.8931 0.0886  1 Si 1.62
O 0.5000 0.3371 0.5958  2 Si 1.64
O 0.5000 0.6654 0.9624  2 Si 1.69
O 0.6219 0.8931 0.0886  1 Si 1.62
O 0.6280 0.4242 0.0726  1 Si 1.62
O 0.6345 0.3160 0.4544  2 Si 1.67-1.69
O 0.6523 0.5824 0.6265  1 Si 1.62
O 0.6578 0.1147 0.6430  1 Si 1.62
O 0.6774 0.6963 0.9089  2 Si 1.68
O 0.6918 0.1698 0.2704  1 Si 1.61
O 0.7232 0.9090 0.4428  1 Si 1.62
O 0.7768 0.0910 0.9428  1 Si 1.62
O 0.8082 0.8302 0.7704  1 Si 1.61
O 0.8226 0.3037 0.4089  2 Si 1.68
O 0.8422 0.8853 0.1430  1 Si 1.62
O 0.8477 0.4176 0.1265  1 Si 1.62
O 0.8655 0.6840 0.9544  2 Si 1.67-1.69
O 0.8720 0.5758 0.5726  1 Si 1.62
O 0.8781 0.1069 0.5886  1 Si 1.62

Its total energy is -0.51745 Ry/atom. The space-group type is Pmn2_1.

3.
Crystalline KLuTa2O7 at its relaxed geometry, computed with PBE-GGA.

abc: 7.5134 7.5134 7.5134
angles: 121.26 120.11 88.82
Closest atoms and distances in Å follow each position.
Positions (direct):
K 0.5000 0.0000 0.0000  8 O 2.57-2.76
K 0.5000 0.5000 0.5000  8 O 2.57-2.76
Lu 0.0000 0.0000 0.0000  2 O 2.08
Lu 0.5000 0.0000 0.5000  2 O 2.08
Ta 0.0000 0.0000 0.5000  6 O 1.97-2.01
Ta 0.0000 0.5000 0.0000  6 O 1.97-2.01
Ta 0.0000 0.5000 0.5000  6 O 1.98-2.02
Ta 0.5000 0.5000 0.0000  6 O 1.98-2.02
O 0.0572 0.4206 0.2368  2 Ta 2.01-2.02
O 0.0572 0.8204 0.6366  2 Ta 2.01-2.02
O 0.0642 0.8142 0.2500  2 Ta 1.97
O 0.3080 0.5580 0.7500  2 Ta 1.98
O 0.3162 0.1796 0.7368  2 Ta 2.01-2.02
O 0.3162 0.5794 0.1366  2 Ta 2.01-2.02
O 0.3333 0.0833 0.2500  2 Lu 2.08
O 0.6667 0.9167 0.7500  2 Lu 2.08
O 0.6838 0.4206 0.8634  2 Ta 2.01-2.02
O 0.6838 0.8204 0.2632  2 Ta 2.01-2.02
O 0.6920 0.4420 0.2500  2 Ta 1.98
O 0.9358 0.1858 0.7500  2 Ta 1.97
O 0.9428 0.1796 0.3634  2 Ta 2.01-2.02
O 0.9428 0.5794 0.7632  2 Ta 2.01-2.02

Its total energy is -0.64071 Ry/atom. The space-group type is Imma.